[1]
Below is a relaxed HoLuMgMn crystal, with properties calculated at the PBE level.

Calculated values
DFT formation energy: 0.096 eV per atom
Magnetization: 3.21 μB/cell
Fermi-level density of states: 5.0 states/eV/f.u.

Cell: 5.1145 5.1145 5.1145 Å, 60.00 60.00 60.00°
Last column: nearest neighbours and their distance in Å.
Element x y z (fractional)
Lu 0.2500 0.2500 0.2500  4 Mn 3.13, 4 Mg 3.13
Mg 0.0000 0.0000 0.0000  4 Lu 3.13, 4 Ho 3.13
Mn 0.5000 0.5000 0.5000  4 Ho 3.13, 4 Lu 3.13
Ho 0.7500 0.7500 0.7500  4 Mn 3.13, 4 Mg 3.13

=====

[2]
Below is a relaxed HoLuMgNi crystal, with properties calculated at the PBE level.

Calculated values
DFT formation energy: -0.134 eV per atom
Magnetization: 0.00 μB/cell
Fermi-level density of states: 2.9 states/eV/f.u.

Cell: 4.9802 4.9802 4.9802 Å, 60.00 60.00 60.00°
Last column: nearest neighbours and their distance in Å.
Element x y z (fractional)
Ni 0.0000 0.0000 0.0000  4 Ho 3.05, 4 Lu 3.05
Mg 0.5000 0.5000 0.5000  4 Lu 3.05, 4 Ho 3.05
Lu 0.2500 0.2500 0.2500  4 Ni 3.05, 4 Mg 3.05
Ho 0.7500 0.7500 0.7500  4 Mg 3.05, 4 Ni 3.05

=====

[3]
Below is a relaxed HoLuMgPa crystal, with properties calculated at the PBE level.

Calculated values
DFT formation energy: 0.346 eV per atom
Magnetization: 2.52 μB/cell
Fermi-level density of states: 7.4 states/eV/f.u.

Cell: 5.3736 5.3736 5.3736 Å, 60.00 60.00 60.00°
Last column: nearest neighbours and their distance in Å.
Element x y z (fractional)
Ho 0.2500 0.2500 0.2500  4 Pa 3.29, 4 Mg 3.29
Lu 0.7500 0.7500 0.7500  4 Pa 3.29, 4 Mg 3.29
Mg 0.0000 0.0000 0.0000  4 Ho 3.29, 4 Lu 3.29
Pa 0.5000 0.5000 0.5000  4 Lu 3.29, 4 Ho 3.29